Entry P
Computed, not measured: a PBEsol-optimized structure of Tc2Br at the SCAN level of DFT.

The structure in extended XYZ format:
```
6
Lattice="2.923 0.000 0.000 0.000 4.376 0.000 0.000 -2.188 8.342" Properties=species:S:1:pos:R:3 pbc="T T T"
Br 0.731 2.188 6.740
Br 2.193 0.000 1.601
Tc 0.731 2.188 2.348
Tc 2.193 0.000 5.994
Tc 0.731 0.000 3.883
Tc 2.193 2.188 4.459
```

- Crystal system: orthorhombic



Entry Q
Computed, not measured: a PBEsol-optimized structure of Tc2Br at the SCAN level of DFT.

The structure in extended XYZ format:
```
3
Lattice="2.905 0.000 0.000 -1.452 2.516 0.000 0.000 0.000 6.294" Properties=species:S:1:pos:R:3 pbc="T T T"
Tc 0.000 1.677 2.171
Tc 1.452 0.839 4.123
Br 0.000 0.000 0.000
```

- Crystal system: trigonal



The data favor entry Q; the next most stable structure lies 1.7 kJ/mol of atoms above it.



Entry P
Computed, not measured: a PBEsol-optimized structure of TcTe2Br at the SCAN level of DFT.

The structure in extended XYZ format:
```
4
Lattice="-0.450 2.864 1.596 -4.245 -1.574 1.627 5.150 -3.006 3.415" Properties=species:S:1:pos:R:3 pbc="T T T"
Te -0.044 -1.296 5.744
Te 1.264 0.177 3.469
Tc -0.745 -1.948 3.285
Br -1.914 0.280 2.389
```

- Crystal system: orthorhombic



Entry Q
Computed, not measured: a PBEsol-optimized structure of TcTe2Br at the SCAN level of DFT.

The structure in extended XYZ format:
```
4
Lattice="3.529 0.000 0.000 0.000 3.529 0.000 0.000 0.000 7.525" Properties=species:S:1:pos:R:3 pbc="T T T"
Te 0.000 0.000 7.137
Te 1.765 1.765 1.465
Tc 1.765 1.765 6.124
Br 0.000 0.000 4.088
```

- Crystal system: tetragonal



The data favor entry P; the next most stable structure lies 23.6 kJ/mol of atoms above it.



Entry P
Computed, not measured: a PBEsol-optimized structure of TlTc2Br at the SCAN level of DFT.

The structure in extended XYZ format:
```
4
Lattice="3.026 0.000 0.000 0.000 3.070 -0.027 0.000 -1.435 8.242" Properties=species:S:1:pos:R:3 pbc="T T T"
Tl 0.000 0.614 3.784
Tc 0.000 0.583 0.331
Tc 1.513 2.129 1.691
Br 1.513 -0.874 6.516
```

- Crystal system: monoclinic



Entry Q
Computed, not measured: a PBEsol-optimized structure of TlTc2Br at the SCAN level of DFT.

The structure in extended XYZ format:
```
4
Lattice="-1.890 -0.552 -2.249 1.204 -2.334 1.547 -6.854 0.245 5.702" Properties=species:S:1:pos:R:3 pbc="T T T"
Tl -4.372 -0.153 1.727
Tc -5.230 0.187 4.351
Tc -1.624 0.058 1.351
Br -0.945 -0.276 -1.124
```

- Crystal system: orthorhombic



Entry R
Computed, not measured: a PBEsol-optimized structure of TlTc2Br at the SCAN level of DFT.

The structure in extended XYZ format:
```
4
Lattice="3.293 0.000 0.000 0.000 4.728 0.000 -1.647 -2.364 5.511" Properties=species:S:1:pos:R:3 pbc="T T T"
Tl 1.647 2.364 0.168
Tc 0.000 0.000 0.248
Tc 1.647 0.000 1.832
Br 0.000 2.364 3.262
```

- Crystal system: orthorhombic



The data favor entry P; the next most stable structure lies 40.0 kJ/mol of atoms above it.